No. 1
# LiSbRh

A geometry-optimized LiSbRh structure (PBE-GGA, the Alexandria database).

a b c (Å): 4.4652 4.4652 3.0859
angles (deg): 90.00 90.00 120.00
With the nearest neighbours (Å) after each atom.
Space group P-6m2 (No. 187)
Asymmetric unit:
Li 0.0000 0.0000 0.0000  6 Sb 3.00, 6 Rh 3.00, 2 Li 3.09
Sb 0.3333 0.6667 0.5000  3 Rh 2.58
Rh 0.6667 0.3333 0.5000  3 Sb 2.58

Computed properties:
- N(E_F): 1.571 states/eV/cell
- Energy relative to the elements, uncorrected: -0.40 eV per atom

---

No. 2
# CaGa2Ge2

A geometry-optimized CaGa2Ge2 structure (PBE-GGA, the Alexandria database).

a b c (Å): 4.1835 4.1835 23.3522
angles (deg): 90.00 90.00 120.00
With the nearest neighbours (Å) after each atom.
Space group R-3m (No. 166, hexagonal axes)
Asymmetric unit:
Ca 0.0000 0.0000 0.0000  6 Ge 3.09
Ga 0.0000 0.0000 0.4439  3 Ge 2.50, 1 Ga 2.62
Ge 0.0000 0.0000 0.2511  3 Ga 2.50

Computed properties:
- N(E_F): 8.665 states/eV/cell
- DFT formation energy: -0.2299 eV/atom

---

No. 3
# Ta2CSe2

A geometry-optimized Ta2CSe2 structure (PBE-GGA, the Alexandria database).

a b c (Å): 7.2293 7.2293 3.1592
angles (deg): 90.00 90.00 90.00
With the nearest neighbours (Å) after each atom.
Space group P4/mbm (No. 127)
Asymmetric unit:
Ta 0.1581 0.3419 0.0000  6 Se 2.59-2.68
C 0.0000 0.0000 0.5000  4 Se 2.79
Se 0.1415 0.6415 0.5000  6 Ta 2.59-2.68, 2 C 2.79, 1 Se 2.89

Computed properties:
- N(E_F): 1.830 states/eV/cell
- Energy relative to the elements, uncorrected: 1.00 eV per atom

---

No. 4
# La8Nd2Al

A geometry-optimized La8Nd2Al structure (PBE-GGA, the Alexandria database).

a b c (Å): 18.6950 5.0580 8.2498
angles (deg): 90.00 105.67 90.00
With the nearest neighbours (Å) after each atom.
Space group C2/m (No. 12)
Asymmetric unit:
La 0.0437 0.0000 0.2423  9 La 3.48-3.89, 2 Al 3.54, 1 Nd 3.77
La 0.0878 0.5000 0.9406  1 Al 3.56, 8 La 3.57-3.79, 3 Nd 3.67-3.68
La 0.1310 0.0000 0.6721  7 La 3.48-3.88, 2 Al 3.54, 3 Nd 3.69-3.77
La 0.1743 0.5000 0.4101  8 La 3.53-3.88, 1 Al 3.53, 3 Nd 3.69-3.70
Nd 0.2277 0.0000 0.1372  2 Nd 3.64, 10 La 3.67-3.77
Al 0.0000 0.5000 0.5000  12 La 3.53-3.56

Computed properties:
- N(E_F): 32.396 states/eV/cell
- DFT formation energy: -0.0346 eV/atom

---

No. 5
# CaMnTl2Bi

A geometry-optimized CaMnTl2Bi structure (PBE-GGA, the Alexandria database).

a b c (Å): 5.2347 5.2347 5.4304
angles (deg): 90.00 90.00 90.00
With the nearest neighbours (Å) after each atom.
Space group P4/mmm (No. 123)
Asymmetric unit:
Ca 0.0000 0.0000 0.0000  4 Bi 3.70, 8 Tl 3.77
Mn 0.5000 0.5000 0.5000  4 Tl 2.62, 2 Bi 2.72
Tl 0.0000 0.5000 0.5000  2 Mn 2.62
Bi 0.5000 0.5000 0.0000  2 Mn 2.72

Computed properties:
- N(E_F): 2.652 states/eV/cell
- DFT formation energy: 0.0537 eV/atom

---

No. 6
# Ag2TePb

A geometry-optimized Ag2TePb structure (PBE-GGA, the Alexandria database).

a b c (Å): 4.3831 4.3831 18.7076
angles (deg): 90.00 90.00 120.00
With the nearest neighbours (Å) after each atom.
Space group R-3m (No. 166, hexagonal axes)
Asymmetric unit:
Ag 0.0000 0.0000 0.2440  3 Te 2.91, 3 Pb 3.03
Te 0.0000 0.0000 0.5000  6 Ag 2.91
Pb 0.0000 0.0000 0.0000  6 Ag 3.03

Computed properties:
- N(E_F): 6.758 states/eV/cell
- Energy relative to the elements, uncorrected: 0.08 eV per atom

---

No. 7
# Ba2Li2TcO6

A geometry-optimized Ba2Li2TcO6 structure (PBE-GGA, the Alexandria database).

a b c (Å): 5.8301 5.8301 15.4136
angles (deg): 90.00 90.00 120.00
With the nearest neighbours (Å) after each atom.
Space group R-3m (No. 166, hexagonal axes)
Asymmetric unit:
Ba 0.0000 0.0000 0.2325  9 O 2.90-2.95, 1 Li 2.97
Li 0.0000 0.0000 0.4255  3 O 1.82
Tc 0.0000 0.0000 0.0000  6 O 1.94
O 0.0231 0.5115 0.7411  1 Li 1.82, 1 Tc 1.94

Computed properties:
- N(E_F): 12.292 states/eV/cell
- Energy relative to the elements, uncorrected: -2.06 eV per atom

---

No. 8
# HgTePd2

A geometry-optimized HgTePd2 structure (PBE-GGA, the Alexandria database).

a b c (Å): 4.7859 4.7859 3.3584
angles (deg): 90.00 90.00 90.00
With the nearest neighbours (Å) after each atom.
Space group P4/mmm (No. 123)
Asymmetric unit:
Hg 0.0000 0.0000 0.0000  8 Pd 2.92
Te 0.5000 0.5000 0.0000  8 Pd 2.92
Pd 0.0000 0.5000 0.5000  4 Hg 2.92, 4 Te 2.92

Computed properties:
- N(E_F): 1.999 states/eV/cell
- Energy relative to the elements, uncorrected: -0.14 eV per atom

---

No. 9
# InHgPb2

A geometry-optimized InHgPb2 structure (PBE-GGA, the Alexandria database).

a b c (Å): 4.6239 4.8571 10.9288
angles (deg): 90.00 101.58 90.00
With the nearest neighbours (Å) after each atom.
Space group P2_1/m (No. 11)
Asymmetric unit:
In 0.1736 0.2500 0.3663  1 Hg 2.93
Hg 0.3312 0.2500 0.6398  1 In 2.93
Pb 0.0629 0.7500 0.1294  8 Pb 3.35-3.68, 2 Hg 3.37-3.40, 2 In 3.51
Pb 0.4375 0.7500 0.8728  8 Pb 3.35-3.65, 2 In 3.44-3.46, 2 Hg 3.48

Computed properties:
- N(E_F): 4.450 states/eV/cell
- DFT formation energy: 0.0305 eV/atom

---

No. 10
# TbPuPa2As4

A geometry-optimized TbPuPa2As4 structure (PBE-GGA, the Alexandria database).

a b c (Å): 7.1088 4.1200 7.1393
angles (deg): 90.00 109.56 90.00
With the nearest neighbours (Å) after each atom.
Space group P2/m (No. 10)
Asymmetric unit:
Tb 0.0000 0.0000 0.0000  6 As 2.92
Pu 0.0000 0.5000 0.5000  6 As 2.92-2.93
Pa 0.5000 0.0000 0.5000  6 As 2.89-2.90
Pa 0.5000 0.5000 0.0000  6 As 2.89
As 0.2536 0.0000 0.7514  3 Pa 2.89-2.90, 1 Tb 2.92, 2 Pu 2.92
As 0.2543 0.5000 0.2509  3 Pa 2.89, 2 Tb 2.92, 1 Pu 2.93

Computed properties:
- N(E_F): 13.375 states/eV/cell
- DFT formation energy: -1.1800 eV/atom

---

| no. | E_tot (Ha/atom) | total magnetic moment (μB per formula unit) |
| --- | --- | --- |
| 1 | -0.1787 | 0.00 |
| 2 | -0.1355 | 0.00 |
| 3 | -0.2566 | 0.00 |
| 4 | -0.1773 | 0.00 |
| 5 | -0.1434 | 2.99 |
| 6 | -0.1124 | 0.00 |
| 7 | -0.2354 | 1.01 |
| 8 | -0.1323 | 0.00 |
| 9 | -0.0949 | 0.00 |
| 10 | -0.3031 | 5.82 |